[1]
Material: ScInRh4
Method: DFT, PBE-GGA
State: optimized geometry

Geometry as POSCAR:
```
ScInRh4
1.0
3.677 0.000 1.063
2.063 4.493 -0.245
0.206 -1.671 6.178
Rh In Sc
4 1 1
Direct
0.835 0.496 0.833 Rh
0.666 0.996 0.672 Rh
0.165 0.504 0.167 Rh
0.334 0.004 0.328 Rh
0.500 0.500 0.500 In
0.000 0.000 0.000 Sc
```

Calculated values
As for the symmetry: C2/m, No. 12. Its formation energy is -0.36 eV/atom.



[2]
Material: AlReNi2
Method: DFT, PBE-GGA
State: optimized geometry

Geometry as POSCAR:
```
AlReNi2
1.0
2.819 0.000 0.000
0.000 4.287 0.000
0.000 0.000 4.224
Ni Re Al
2 1 1
Direct
0.000 0.000 0.000 Ni
0.500 0.500 0.000 Ni
0.500 0.000 0.500 Re
0.000 0.500 0.500 Al
```

Calculated values
As for the symmetry: Pmmm, No. 47. Its formation energy is -0.06 eV/atom.



[3]
Material: SrThMnN4
Method: DFT, PBE-GGA
State: optimized geometry

Geometry as POSCAR:
```
SrThMnN4
1.0
5.865 0.000 0.136
0.000 5.450 0.000
-2.136 0.000 6.870
Th N Mn Sr
2 8 2 2
Direct
0.235 0.250 0.559 Th
0.765 0.750 0.441 Th
0.577 0.250 0.834 N
0.966 0.004 0.718 N
0.423 0.750 0.166 N
0.401 0.750 0.545 N
0.034 0.996 0.282 N
0.966 0.496 0.718 N
0.034 0.504 0.282 N
0.599 0.250 0.455 N
0.774 0.250 0.692 Mn
0.226 0.750 0.308 Mn
0.285 0.250 0.075 Sr
0.715 0.750 0.925 Sr
```

Calculated values
As for the symmetry: P2_1/m, No. 11. As for the formation energy from raw total energies: -0.88 eV/atom.



[4]
Material: SmSc2Zn
Method: DFT, PBE-GGA
State: optimized geometry

Geometry as POSCAR:
```
SmSc2Zn
1.0
-2.732 -0.775 -2.046
-0.973 -4.185 2.885
-1.333 5.394 2.730
Sm Sc Zn
1 2 1
Direct
0.000 0.500 0.000 Sm
0.216 0.216 0.433 Sc
0.784 0.784 0.567 Sc
0.500 0.000 0.000 Zn
```

Calculated values
As for the symmetry: Immm, No. 71. Its formation energy is -0.15 eV/atom.



[5]
Material: CuSn2Br
Method: DFT, PBE-GGA
State: optimized geometry

Geometry as POSCAR:
```
CuSn2Br
1.0
-4.997 1.485 -3.629
3.003 -2.329 -5.090
-3.535 -6.182 -3.221
Cu Sn Br
2 4 2
Direct
0.500 0.500 0.000 Cu
0.250 0.750 0.500 Cu
0.375 0.459 0.750 Sn
0.875 0.791 0.750 Sn
0.541 0.125 0.250 Sn
0.209 0.625 0.250 Sn
0.750 0.250 0.500 Br
0.000 0.000 0.000 Br
```

Calculated values
As for the symmetry: I-42d, No. 122. As for the formation energy from raw total energies: 0.09 eV/atom.



[6]
Material: AsOsRh2
Method: DFT, PBE-GGA
State: optimized geometry

Geometry as POSCAR:
```
AsOsRh2
1.0
5.280 0.008 0.003
2.635 4.575 -0.003
-3.436 -3.192 2.425
As Os Rh
1 1 2
Direct
0.498 0.498 0.000 As
0.283 0.783 0.500 Os
0.005 0.005 0.000 Rh
0.714 0.214 0.500 Rh
```

Calculated values
As for the symmetry: Imm2, No. 44. Its formation energy is 0.11 eV/atom.



[7]
Material: Pm5Y3Tm3
Method: DFT, PBE-GGA
State: optimized geometry

Geometry as POSCAR:
```
Pm5Y3Tm3
1.0
-0.069 -1.804 -5.312
9.711 -0.165 -0.070
-4.971 -7.881 2.741
Tm Pm Y
3 5 3
Direct
0.500 0.000 0.368 Tm
0.500 0.368 0.000 Tm
0.500 0.632 0.632 Tm
0.500 0.270 0.270 Pm
0.500 0.000 0.730 Pm
0.500 0.730 0.000 Pm
0.500 0.667 0.333 Pm
0.500 0.333 0.667 Pm
0.000 0.000 0.537 Y
0.000 0.537 0.000 Y
0.000 0.463 0.463 Y
```

Calculated values
As for the symmetry: P-62m, No. 189. Its formation energy is 0.79 eV/atom.



[8]
Material: MnCrCl2
Method: DFT, PBE-GGA
State: optimized geometry

Geometry as POSCAR:
```
MnCrCl2
1.0
3.256 0.000 0.000
0.000 6.195 0.000
0.000 0.000 3.947
Cl Cr Mn
2 1 1
Direct
0.500 0.500 0.000 Cl
0.000 0.000 0.000 Cl
0.500 0.000 0.500 Cr
0.000 0.500 0.500 Mn
```

Calculated values
As for the symmetry: Pmmm, No. 47. As for the formation energy from raw total energies: 0.04 eV/atom.



Results for total magnetic moment: 0.00, 0.00, 1.00, 0.00, 0.00, 0.00, 0.00, 8.71 (in μB per formula unit, following the order of the records).